# 1
A plane-wave DFT calculation with PBE was carried out for AcGa2BRu2 after structural relaxation.

Lattice parameters (Å, degrees): 4.2502 4.2502 5.8012 90.00 90.00 90.00
Closest atoms and distances in Å follow each position.
Fractional coordinates of all 6 atoms:
Ac  0.0000  0.0000  0.5000  2 B 2.90
Ga  0.5000  0.5000  0.7425  4 Ru 2.60, 1 Ga 2.81
Ga  0.5000  0.5000  0.2575  4 Ru 2.60, 1 Ga 2.81
B  0.0000  0.0000  0.0000  4 Ru 2.13
Ru  0.5000  0.0000  0.0000  2 B 2.13
Ru  0.0000  0.5000  0.0000  2 B 2.13

Properties
The space-group type is P4/mmm, No. 123. For the formation energy, the calculation gives -574.3 meV per atom.

# 2
A plane-wave DFT calculation with PBE was carried out for AcGa2Tc2B after structural relaxation.

Lattice parameters (Å, degrees): 4.2958 4.2958 5.8295 90.00 90.00 90.00
Closest atoms and distances in Å follow each position.
Fractional coordinates of all 6 atoms:
Ac  0.0000  0.0000  0.5000  2 B 2.91
Ga  0.5000  0.5000  0.7408  4 Tc 2.63, 1 Ga 2.81
Ga  0.5000  0.5000  0.2592  4 Tc 2.63, 1 Ga 2.81
Tc  0.5000  0.0000  0.0000  2 B 2.15
Tc  0.0000  0.5000  0.0000  2 B 2.15
B  0.0000  0.0000  0.0000  4 Tc 2.15

Properties
The space-group type is P4/mmm, No. 123. For the formation energy, the calculation gives -428.4 meV per atom.

# 3
A plane-wave DFT calculation with PBE was carried out for Ac4Ge5B2 after structural relaxation.

Lattice parameters (Å, degrees): 4.7608 6.9529 7.9395 87.92 90.00 90.00
Closest atoms and distances in Å follow each position.
Fractional coordinates of all 11 atoms:
Ac  0.5000  0.7489  0.6225  4 B 3.16-3.26, 6 Ge 3.22-3.48
Ac  0.5000  0.2282  0.8665  8 Ge 3.18-3.35, 2 B 3.45
Ac  0.5000  0.2511  0.3775  4 B 3.16-3.26, 6 Ge 3.22-3.48
Ac  0.5000  0.7718  0.1335  8 Ge 3.18-3.35, 2 B 3.45
Ge  0.0000  0.6171  0.3671  1 B 2.23
Ge  0.0000  0.0965  0.1441  1 B 2.37
Ge  0.0000  0.5000  0.0000  4 Ge 2.99-3.05, 4 Ac 3.24
Ge  0.0000  0.9035  0.8559  1 B 2.37
Ge  0.0000  0.3829  0.6329  1 B 2.23
B  0.0000  0.0677  0.5893  1 B 1.73
B  0.0000  0.9323  0.4107  1 B 1.73

Properties
The space-group type is P2/m, No. 10. For the formation energy, the calculation gives -425.6 meV per atom.

# 4
A plane-wave DFT calculation with PBE was carried out for Ac12Ge6B after structural relaxation.

Lattice parameters (Å, degrees): 9.0439 9.0439 9.0439 98.83 98.83 98.83
Closest atoms and distances in Å follow each position.
Fractional coordinates of all 19 atoms:
Ac  0.8134  0.5740  0.4324  4 Ge 3.14-3.45
Ac  0.4324  0.8134  0.5740  4 Ge 3.14-3.45
Ac  0.5740  0.4324  0.8134  4 Ge 3.14-3.45
Ac  0.1866  0.4260  0.5676  4 Ge 3.14-3.45
Ac  0.5676  0.1866  0.4260  4 Ge 3.14-3.45
Ac  0.4260  0.5676  0.1866  4 Ge 3.14-3.45
Ac  0.0638  0.9672  0.3145  1 B 2.88, 1 Ge 3.23
Ac  0.0328  0.6855  0.9362  1 B 2.88, 1 Ge 3.23
Ac  0.6855  0.9362  0.0328  1 B 2.88, 1 Ge 3.23
Ac  0.9362  0.0328  0.6855  1 B 2.88, 1 Ge 3.23
Ac  0.9672  0.3145  0.0638  1 B 2.88, 1 Ge 3.23
Ac  0.3145  0.0638  0.9672  1 B 2.88, 1 Ge 3.23
Ge  0.6988  0.8754  0.3772  7 Ac 3.14-3.45
Ge  0.6228  0.3012  0.1246  7 Ac 3.14-3.45
Ge  0.1246  0.6228  0.3012  7 Ac 3.14-3.45
Ge  0.3012  0.1246  0.6228  7 Ac 3.14-3.45
Ge  0.3772  0.6988  0.8754  7 Ac 3.14-3.45
Ge  0.8754  0.3772  0.6988  7 Ac 3.14-3.45
B  0.0000  0.0000  0.0000  6 Ac 2.88

Properties
The space-group type is R-3, No. 148. For the formation energy, the calculation gives -376.7 meV per atom.

# 5
A plane-wave DFT calculation with PBE was carried out for AcGeBIr3 after structural relaxation.

Lattice parameters (Å, degrees): 5.9116 5.8973 6.9317 115.18 90.00 90.00
Closest atoms and distances in Å follow each position.
Fractional coordinates of all 12 atoms:
Ac  0.7500  0.2546  0.5091  4 Ir 3.02-3.05
Ac  0.2500  0.7454  0.4909  4 Ir 3.02-3.05
Ge  0.2500  0.3871  0.7741  5 Ir 2.42-2.54
Ge  0.7500  0.6129  0.2259  5 Ir 2.42-2.54
B  0.2500  0.0257  0.0514  5 Ir 2.10-2.11
B  0.7500  0.9743  0.9486  5 Ir 2.10-2.11
Ir  0.2500  0.1939  0.3877  1 B 2.11
Ir  0.0000  0.2458  0.0000  2 B 2.10
Ir  0.5000  0.7542  0.0000  2 B 2.10
Ir  0.5000  0.2458  0.0000  2 B 2.10
Ir  0.0000  0.7542  0.0000  2 B 2.10
Ir  0.7500  0.8061  0.6123  1 B 2.11

Properties
The space-group type is Cmcm, No. 63. For the formation energy, the calculation gives -538.8 meV per atom.

# 6
A plane-wave DFT calculation with PBE was carried out for Ac3GeB2N6 after structural relaxation.

Lattice parameters (Å, degrees): 5.5330 5.5330 6.7247 90.00 90.00 120.00
Closest atoms and distances in Å follow each position.
Fractional coordinates of all 12 atoms:
Ac  0.3333  0.6667  0.6743  1 B 2.68, 9 N 2.78-2.97
Ac  0.6667  0.3333  0.3257  1 B 2.68, 9 N 2.78-2.97
Ac  0.0000  0.0000  0.0000  6 N 2.60
Ge  0.0000  0.0000  0.5000  6 N 2.22
B  0.6667  0.3333  0.7236  3 N 1.49
B  0.3333  0.6667  0.2764  3 N 1.49
N  0.6428  0.8214  0.2908  1 B 1.49
N  0.1786  0.3572  0.2908  1 B 1.49
N  0.1786  0.8214  0.2908  1 B 1.49
N  0.8214  0.6428  0.7092  1 B 1.49
N  0.3572  0.1786  0.7092  1 B 1.49
N  0.8214  0.1786  0.7092  1 B 1.49

Properties
The space-group type is P-3m1, No. 164. The value obtained for the energy is -7.47 eV/atom.

# 7
A plane-wave DFT calculation with PBE was carried out for AcGeB2O8 after structural relaxation.

Lattice parameters (Å, degrees): 4.6260 4.6260 7.2182 90.00 90.00 120.00
Closest atoms and distances in Å follow each position.
Fractional coordinates of all 12 atoms:
Ac  0.0000  0.0000  0.0000  12 O 2.72-2.82
Ge  0.0000  0.0000  0.5000  6 O 1.90
B  0.6667  0.3333  0.2768  4 O 1.46-1.48
B  0.3333  0.6667  0.7232  4 O 1.46-1.48
O  0.3333  0.6667  0.9286  1 B 1.48
O  0.3424  0.2847  0.3340  1 B 1.46
O  0.7153  0.0576  0.3340  1 B 1.46
O  0.6667  0.3333  0.0714  1 B 1.48
O  0.2847  0.9424  0.6660  1 B 1.46
O  0.6576  0.7153  0.6660  1 B 1.46
O  0.0576  0.3424  0.6660  1 B 1.46
O  0.9424  0.6576  0.3340  1 B 1.46

Properties
The space-group type is P-3, No. 147. The value obtained for the energy is -7.04 eV/atom.

# 8
A plane-wave DFT calculation with PBE was carried out for AcGe2BO8 after structural relaxation.

Lattice parameters (Å, degrees): 4.8419 4.8419 7.0050 90.00 90.00 120.00
Closest atoms and distances in Å follow each position.
Fractional coordinates of all 12 atoms:
Ac  0.0000  0.0000  0.0000  12 O 2.82-2.85
Ge  0.6667  0.3333  0.3106  4 O 1.78-1.79
Ge  0.3333  0.6667  0.6894  4 O 1.78-1.79
B  0.0000  0.0000  0.5000  6 O 1.68
O  0.3333  0.6667  0.9451  1 Ge 1.79
O  0.2803  0.2776  0.3575  1 B 1.68, 1 Ge 1.78
O  0.7224  0.0027  0.3575  1 B 1.68, 1 Ge 1.78
O  0.6667  0.3333  0.0549  1 Ge 1.79
O  0.2776  0.9973  0.6425  1 B 1.68, 1 Ge 1.78
O  0.7197  0.7224  0.6425  1 B 1.68, 1 Ge 1.78
O  0.0027  0.2803  0.6425  1 B 1.68, 1 Ge 1.78
O  0.9973  0.7197  0.3575  1 B 1.68, 1 Ge 1.78

Properties
The space-group type is P-3, No. 147. The value obtained for the energy is -6.54 eV/atom.